PuMn3Cl2O6: relaxed, PBE+U.

Structure (extended XYZ):
```
12
Lattice="5.271 0.000 0.794 0.000 6.198 0.000 0.303 -3.099 5.449" Properties=species:S:1:pos:R:3 pbc="T T T"
Pu 2.635 0.000 0.397
Mn 0.000 3.099 0.000
Mn 2.787 1.549 3.122
Mn 2.787 -1.549 3.122
Cl 1.028 3.099 2.155
Cl 4.545 0.000 4.088
O 3.739 1.503 1.343
O 1.834 1.596 4.900
O 3.684 3.099 3.840
O 1.889 0.000 2.404
O 1.834 -1.596 4.900
O 3.739 4.695 1.343
```

Computed properties:
- total energy (eV per atom) = -7.30
- theoretical density (g/cm3) = 5.4
- M_tot (Bohr magnetons per cell) = 5.0